The following is a SCAN calculation of ZrZnMo2 at its PBEsol-relaxed geometry, from Alexandria.

Cell lengths 2.7296, 2.7296, 8.9709 Å; angles 90.00, 90.00, 105.16 degrees
Fractional positions:
1 Mo 0.0000 0.0000 0.2670
2 Mo 0.0000 0.0000 0.7330
3 Zn 0.5000 0.5000 0.5000
4 Zr 0.5000 0.5000 0.0000

## Properties
total DFT energy (no corrections): -28.306 eV/atom
V: 64.5 Å³/cell
space-group type: No. 65
spin magnetization: 0.0 Bohr magnetons per cell

The following is a SCAN calculation of ZrZnMo2 at its PBEsol-relaxed geometry, from Alexandria.

Cell lengths 2.7974, 2.7974, 9.8775 Å; angles 81.86, 81.86, 60.00 degrees
Fractional positions:
1 Mo 0.9951 0.9951 0.0147
2 Mo 0.2482 0.2482 0.2555
3 Zn 0.5045 0.5045 0.4866
4 Zr 0.7523 0.7523 0.7432

## Properties
total DFT energy (no corrections): -28.161 eV/atom
V: 66.0 Å³/cell
space-group type: No. 160
spin magnetization: 0.0 Bohr magnetons per cell

The following is a SCAN calculation of ZrZn4Mo at its PBEsol-relaxed geometry, from Alexandria.

Cell lengths 4.9880, 4.9880, 4.9880 Å; angles 60.00, 60.00, 60.00 degrees
Fractional positions:
1 Mo 0.0000 0.0000 0.0000
2 Zn 0.3743 0.3743 0.3743
3 Zn 0.3743 0.3743 0.8771
4 Zn 0.8771 0.3743 0.3743
5 Zn 0.3743 0.8771 0.3743
6 Zr 0.7500 0.7500 0.7500

## Properties
total DFT energy (no corrections): -20.203 eV/atom
V: 87.8 Å³/cell
space-group type: No. 216
spin magnetization: 0.0 Bohr magnetons per cell

The following is a SCAN calculation of Zr2ZnMo at its PBEsol-relaxed geometry, from Alexandria.

Cell lengths 4.0692, 4.0692, 5.1842 Å; angles 113.11, 113.11, 90.00 degrees
Fractional positions:
1 Mo 0.5000 0.5000 0.0000
2 Zn 0.2500 0.7500 0.5000
3 Zr 0.0000 0.0000 0.0000
4 Zr 0.7500 0.2500 0.5000

## Properties
total DFT energy (no corrections): -27.450 eV/atom
V: 71.4 Å³/cell
space-group type: No. 119
spin magnetization: 0.0 Bohr magnetons per cell

The following is a SCAN calculation of ZrZnMo2 at its PBEsol-relaxed geometry, from Alexandria.

Cell lengths 3.2194, 3.2194, 6.3114 Å; angles 90.00, 90.00, 90.00 degrees
Fractional positions:
1 Mo 0.0000 0.0000 0.0235
2 Mo 0.5000 0.5000 0.2444
3 Zn 0.0000 0.0000 0.4777
4 Zr 0.5000 0.5000 0.7544

## Properties
total DFT energy (no corrections): -28.587 eV/atom
V: 65.4 Å³/cell
space-group type: No. 99
spin magnetization: 0.0 Bohr magnetons per cell

The following is a SCAN calculation of Zr2ZnMo at its PBEsol-relaxed geometry, from Alexandria.

Cell lengths 3.4035, 4.5778, 4.5778 Å; angles 90.00, 90.00, 90.00 degrees
Fractional positions:
1 Mo 0.5000 0.5000 0.5000
2 Zn 0.5000 0.0000 0.0000
3 Zr 0.0000 0.0000 0.5000
4 Zr 0.0000 0.5000 0.0000

## Properties
total DFT energy (no corrections): -27.641 eV/atom
V: 71.3 Å³/cell
space-group type: No. 123
spin magnetization: 0.0 Bohr magnetons per cell

The following is a SCAN calculation of ZrZnMo2 at its PBEsol-relaxed geometry, from Alexandria.

Cell lengths 2.7563, 2.7563, 9.0321 Å; angles 90.00, 90.00, 107.82 degrees
Fractional positions:
1 Mo 0.0000 0.0000 0.9843
2 Mo 0.5000 0.5000 0.7525
3 Zn 0.0000 0.0000 0.5148
4 Zr 0.5000 0.5000 0.2484

## Properties
total DFT energy (no corrections): -28.419 eV/atom
V: 65.3 Å³/cell
space-group type: No. 35
spin magnetization: 0.0 Bohr magnetons per cell

The following is a SCAN calculation of ZrMo5 at its PBEsol-relaxed geometry, from Alexandria.

Cell lengths 4.4459, 5.2282, 5.2282 Å; angles 120.00, 90.00, 90.00 degrees
Fractional positions:
1 Mo 0.5000 0.0000 0.5000
2 Mo 0.0000 0.6667 0.3333
3 Mo 0.5000 0.5000 0.5000
4 Mo 0.5000 0.5000 0.0000
5 Mo 0.0000 0.3333 0.6667
6 Zr 0.0000 0.0000 0.0000

## Properties
total DFT energy (no corrections): -33.925 eV/atom
V: 105.2 Å³/cell
space-group type: No. 191
spin magnetization: 0.0 Bohr magnetons per cell

The following is a SCAN calculation of Zr4Mo at its PBEsol-relaxed geometry, from Alexandria.

Cell lengths 5.1076, 5.1889, 5.1889 Å; angles 75.98, 60.52, 60.52 degrees
Fractional positions:
1 Mo 0.0000 0.0000 0.0000
2 Zr 0.1828 0.4555 0.1788
3 Zr 0.6383 0.1788 0.5445
4 Zr 0.8172 0.5445 0.8212
5 Zr 0.3617 0.8212 0.4555

## Properties
total DFT energy (no corrections): -31.457 eV/atom
V: 104.2 Å³/cell
space-group type: No. 87
spin magnetization: 0.0 Bohr magnetons per cell

The following is a SCAN calculation of Zr3Mo at its PBEsol-relaxed geometry, from Alexandria.

Cell lengths 3.3350, 3.3350, 7.2136 Å; angles 90.00, 90.00, 90.00 degrees
Fractional positions:
1 Mo 0.0000 0.0000 0.0000
2 Zr 0.0000 0.0000 0.5000
3 Zr 0.5000 0.5000 0.2181
4 Zr 0.5000 0.5000 0.7819

## Properties
total DFT energy (no corrections): -31.722 eV/atom
V: 80.2 Å³/cell
space-group type: No. 123
spin magnetization: 0.0 Bohr magnetons per cell

The following is a SCAN calculation of Zr5Mo at its PBEsol-relaxed geometry, from Alexandria.

Cell lengths 3.3047, 3.3047, 11.4168 Å; angles 90.00, 90.00, 90.00 degrees
Fractional positions:
1 Mo 0.5000 0.5000 0.5000
2 Zr 0.0000 0.0000 0.6388
3 Zr 0.5000 0.5000 0.8198
4 Zr 0.0000 0.0000 0.0000
5 Zr 0.5000 0.5000 0.1802
6 Zr 0.0000 0.0000 0.3612

## Properties
total DFT energy (no corrections): -31.351 eV/atom
V: 124.7 Å³/cell
space-group type: No. 123
spin magnetization: 0.0 Bohr magnetons per cell

The following is a SCAN calculation of Zr5Mo at its PBEsol-relaxed geometry, from Alexandria.

Cell lengths 3.3600, 5.7111, 7.2131 Å; angles 108.70, 90.00, 107.11 degrees
Fractional positions:
1 Mo 0.9768 0.9535 0.9489
2 Zr 0.6200 0.2399 0.7954
3 Zr 0.3084 0.6168 0.6373
4 Zr 0.9665 0.9330 0.4407
5 Zr 0.6381 0.2762 0.2566
6 Zr 0.3236 0.6473 0.0879

## Properties
total DFT energy (no corrections): -31.390 eV/atom
V: 124.6 Å³/cell
space-group type: No. 8
spin magnetization: 0.0 Bohr magnetons per cell

Question: Which of these has the lowest V?
Answer: number 1

Question: Look up the total DFT energy (no corrections) of the eleventh one.
Answer: -31.351 eV/atom

Question: Look up the total DFT energy (no corrections) of the eighth one.
Answer: -33.925 eV/atom

Question: V of number 5 (ZrZnMo2)?
Answer: 65.4 Å³/cell